K3DyTm2Se6: optimized geometry, PBE.

Results
* crystal system: monoclinic
* uncorrected formation energy: -1.756 eV per atom
* E: -4.90 eV per atom
* size of the total moment: 0.000 μB/f.u.

a b c (Å): 7.2388 12.5384 8.0463
angles (deg): 90.00 107.44 90.00
Space group C2/m (No. 12)
Asymmetric unit:
1 K 0.0000 0.0000 0.0000 [2 per cell]
2 K 0.0000 0.3338 0.0000 [4 per cell]
3 Dy 0.0000 0.5000 0.5000 [2 per cell]
4 Tm 0.0000 0.1667 0.5000 [4 per cell]
5 Se 0.2314 0.0000 0.7034 [4 per cell]
6 Se 0.2360 0.3318 0.7034 [8 per cell]